Model P:
The following is a GGA-PBE calculation of a geometry-optimized NpGaH2 structure, from the Alexandria database.

Summary:
SG	R-3m (166)

a = 5.0750 Å, b = 5.0750 Å, c = 5.0750 Å
α = 42.02°, β = 42.02°, γ = 42.02°
With the nearest neighbours (Å) after each atom.
Positions (direct):
Np  0.0000  0.0000  0.0000  6 H 2.16
Ga  0.5000  0.5000  0.5000  8 H 2.78-2.80
H  0.2980  0.2980  0.2980  3 Np 2.16, 3 H 2.32
H  0.7020  0.7020  0.7020  3 Np 2.16, 3 H 2.32

Model Q:
The following is a GGA-PBE calculation of a geometry-optimized NpGaH2 structure, from the Alexandria database.

Summary:
SG	Cmcm (63)

a = 6.0177 Å, b = 6.0177 Å, c = 4.0482 Å
α = 90.00°, β = 90.00°, γ = 139.97°
With the nearest neighbours (Å) after each atom.
Positions (direct):
Np  0.1547  0.8453  0.7500  7 H 2.30-2.34
Np  0.8453  0.1547  0.2500  7 H 2.30-2.34
Ga  0.4314  0.5686  0.7500  2 H 2.07
Ga  0.5686  0.4314  0.2500  2 H 2.07
H  0.0523  0.9477  0.2500  2 Ga 2.07, 1 H 2.25
H  0.2514  0.7486  0.2500  1 H 2.25, 4 Np 2.30-2.32
H  0.7486  0.2514  0.7500  1 H 2.25, 4 Np 2.30-2.32
H  0.9477  0.0523  0.7500  2 Ga 2.07, 1 H 2.25

Which one is most stable, and which one is least stable? model Q is the most stable of them, while model P is the least stable.